Compound: PrAl6Cu6
Source: Alexandria
Functional: PBE
Structure: relaxed

Results
Symmetry: Immm

Lattice parameters (Å, degrees): 6.6921 6.6921 6.6921 135.05 99.14 97.67
Atoms (fractional coordinates):
Pr  0.0000  0.0000  0.0000
Al  0.2076  0.7076  0.5000
Al  0.3480  0.0000  0.3480
Al  0.3506  0.3506  0.0000
Al  0.6494  0.6494  0.0000
Al  0.6520  0.0000  0.6520
Al  0.7924  0.2924  0.5000
Cu  0.0000  0.0000  0.5000
Cu  0.0000  0.5000  0.0000
Cu  0.2334  0.5000  0.7334
Cu  0.5000  0.0000  0.0000
Cu  0.5000  0.5000  0.5000
Cu  0.7666  0.5000  0.2666

Compound: Pr2Al9Cu3
Source: Alexandria
Functional: PBE
Structure: relaxed

Results
Symmetry: C2/c

Lattice parameters (Å, degrees): 7.6093 7.6093 10.9877 111.15 111.15 59.60
Atoms (fractional coordinates):
Pr  0.0832  0.2521  0.2489
Pr  0.2521  0.0832  0.7489
Pr  0.7479  0.9168  0.2511
Pr  0.9168  0.7479  0.7511
Al  0.0237  0.8519  0.0649
Al  0.1481  0.9763  0.4351
Al  0.1918  0.3557  0.5631
Al  0.2136  0.5844  0.2512
Al  0.3178  0.4829  0.9470
Al  0.3557  0.1918  0.0631
Al  0.3762  0.6238  0.7500
Al  0.4156  0.7864  0.2488
Al  0.4829  0.3178  0.4470
Al  0.5171  0.6822  0.5530
Al  0.5844  0.2136  0.7512
Al  0.6238  0.3762  0.2500
Al  0.6443  0.8082  0.9369
Al  0.6822  0.5171  0.0530
Al  0.7864  0.4156  0.7488
Al  0.8082  0.6443  0.4369
Al  0.8519  0.0237  0.5649
Al  0.9763  0.1481  0.9351
Cu  0.0000  0.5000  0.0000
Cu  0.1598  0.6693  0.4978
Cu  0.3307  0.8402  0.0022
Cu  0.5000  0.0000  0.5000
Cu  0.6693  0.1598  0.9978
Cu  0.8402  0.3307  0.5022

Compound: Pr3Al3Cu
Source: Alexandria
Functional: PBE
Structure: relaxed

Results
Symmetry: C2/m

Lattice parameters (Å, degrees): 5.9703 5.9703 14.6637 108.27 108.27 45.57
Atoms (fractional coordinates):
Pr  0.0256  0.0256  0.2668
Pr  0.1786  0.1786  0.5782
Pr  0.3500  0.3500  0.8788
Pr  0.6500  0.6500  0.1212
Pr  0.8214  0.8214  0.4218
Pr  0.9744  0.9744  0.7332
Al  0.1035  0.1035  0.9645
Al  0.3192  0.3192  0.2600
Al  0.4707  0.4707  0.5802
Al  0.5293  0.5293  0.4198
Al  0.6808  0.6808  0.7400
Al  0.8965  0.8965  0.0355
Cu  0.3453  0.3453  0.0941
Cu  0.6547  0.6547  0.9059

Number 1: ρ 5.81 g cm⁻³, energy of formation from the pure elements -4.5 eV/f.u., calculated total energy -4.3315 eV/atom. Number 2: ρ 4.76 g cm⁻³, energy of formation from the pure elements -4.2 eV/f.u., calculated total energy -4.2645 eV/atom. Number 3: ρ 5.37 g cm⁻³, energy of formation from the pure elements -2.3 eV/f.u., calculated total energy -4.5689 eV/atom.